Entry 1:
VASP calculation (PBE-GGA) on a relaxed Mg2CdCo crystal.

Calculated values
For the total magnetization, the calculation gives 0.240 μB/atom. The crystal system is tetragonal. As for the formation energy: 0.094 eV per atom.

a = 5.1926 Å, b = 5.1926 Å, c = 5.1926 Å
α = 134.78°, β = 134.78°, γ = 65.86°
Closest atoms and distances in Å follow each position.
Element x y z (fractional)
Mg (0.0000, 0.0000, 0.0000)  4 Co 2.82, 4 Mg 2.96, 4 Cd 2.96
Mg (0.7500, 0.2500, 0.5000)  4 Cd 2.82, 4 Co 2.96, 4 Mg 2.96
Cd (0.2500, 0.7500, 0.5000)  8 Mg 2.82-2.96, 4 Co 2.96
Co (0.5000, 0.5000, 0.0000)  8 Mg 2.82-2.96, 4 Cd 2.96

=====

Entry 2:
VASP calculation (PBE-GGA) on a relaxed PmEr2Ru2 crystal.

Calculated values
For the total magnetization, the calculation gives 0.000 μB/atom. The crystal system is orthorhombic. Its polymorph energy (0 for the lowest one) is 0 meV per atom. As for the formation energy: -0.264 eV per atom.

a = 10.3883 Å, b = 10.3883 Å, c = 3.3964 Å
α = 90.00°, β = 90.00°, γ = 161.11°
Closest atoms and distances in Å follow each position.
Element x y z (fractional)
Pm (0.0000, 0.0000, 0.0000)  8 Ru 3.06, 4 Pm 3.40-3.41, 2 Er 3.42
Er (0.1668, 0.8332, 0.0000)  4 Ru 2.85
Er (0.8332, 0.1668, 0.0000)  4 Ru 2.85
Ru (0.4077, 0.5923, 0.5000)  4 Er 2.85, 4 Pm 3.06
Ru (0.5923, 0.4077, 0.5000)  4 Er 2.85, 4 Pm 3.06

=====

Entry 3:
VASP calculation (PBE-GGA) on a relaxed LiMoAs2Br crystal.

Calculated values
For the total magnetization, the calculation gives 0.587 μB/atom. The crystal system is tetragonal. Its polymorph energy (0 for the lowest one) is 762 meV per atom. The formation energy (no corrections) comes out at 0.791 eV per atom.

a = 4.4891 Å, b = 4.4891 Å, c = 5.0226 Å
α = 90.00°, β = 90.00°, γ = 90.00°
Closest atoms and distances in Å follow each position.
Element x y z (fractional)
Li (0.0000, 0.0000, 0.0000)  4 As 2.24, 2 Br 2.51
Mo (0.5000, 0.5000, 0.5000)  4 Br 3.17, 8 As 3.37
As (0.0000, 0.5000, 0.0000)  2 Li 2.24
As (0.5000, 0.0000, 0.0000)  2 Li 2.24
Br (0.0000, 0.0000, 0.5000)  2 Li 2.51

=====

Entry 4:
VASP calculation (PBE-GGA) on a relaxed Pr7Er16Tm6 crystal.

Calculated values
For the total magnetization, the calculation gives 0.000 μB/atom. The crystal system is cubic. As for the formation energy: 0.198 eV per atom.

a = 10.9990 Å, b = 10.9990 Å, c = 10.9990 Å
α = 60.00°, β = 60.00°, γ = 60.00°
Closest atoms and distances in Å follow each position.
Element x y z (fractional)
Pr (0.0000, 0.0000, 0.0000)  6 Tm 3.52
Pr (0.0000, 0.0000, 0.5000)  8 Er 3.21-3.49
Pr (0.0000, 0.5000, 0.0000)  8 Er 3.21-3.49
Pr (0.0000, 0.5000, 0.5000)  8 Er 3.21-3.49
Pr (0.5000, 0.0000, 0.0000)  8 Er 3.21-3.49
Pr (0.5000, 0.0000, 0.5000)  8 Er 3.21-3.49
Pr (0.5000, 0.5000, 0.0000)  8 Er 3.21-3.49
Er (0.1497, 0.1497, 0.1497)  3 Pr 3.21, 3 Tm 3.50
Er (0.1497, 0.1497, 0.5510)  3 Pr 3.21, 3 Tm 3.50
Er (0.1497, 0.5510, 0.1497)  3 Pr 3.21, 3 Tm 3.50
Er (0.1626, 0.6125, 0.6125)  3 Pr 3.49, 6 Er 3.50-3.79, 3 Tm 3.52
Er (0.3875, 0.3875, 0.3875)  3 Pr 3.49, 6 Er 3.50-3.79, 3 Tm 3.52
Er (0.3875, 0.3875, 0.8374)  3 Pr 3.49, 6 Er 3.50-3.79, 3 Tm 3.52
Er (0.3875, 0.8374, 0.3875)  3 Pr 3.49, 6 Er 3.50-3.79, 3 Tm 3.52
Er (0.4490, 0.8503, 0.8503)  3 Pr 3.21, 3 Tm 3.50
Er (0.5510, 0.1497, 0.1497)  3 Pr 3.21, 3 Tm 3.50
Er (0.6125, 0.1626, 0.6125)  3 Pr 3.49, 6 Er 3.50-3.79, 3 Tm 3.52
Er (0.6125, 0.6125, 0.1626)  3 Pr 3.49, 6 Er 3.50-3.79, 3 Tm 3.52
Er (0.6125, 0.6125, 0.6125)  3 Pr 3.49, 6 Er 3.50-3.79, 3 Tm 3.52
Er (0.8374, 0.3875, 0.3875)  3 Pr 3.49, 6 Er 3.50-3.79, 3 Tm 3.52
Er (0.8503, 0.4490, 0.8503)  3 Pr 3.21, 3 Tm 3.50
Er (0.8503, 0.8503, 0.4490)  3 Pr 3.21, 3 Tm 3.50
Er (0.8503, 0.8503, 0.8503)  3 Pr 3.21, 3 Tm 3.50
Tm (0.2263, 0.2263, 0.7737)  8 Er 3.50-3.52, 5 Pr 3.52-3.91
Tm (0.2263, 0.7737, 0.2263)  8 Er 3.50-3.52, 5 Pr 3.52-3.91
Tm (0.2263, 0.7737, 0.7737)  8 Er 3.50-3.52, 5 Pr 3.52-3.91
Tm (0.7737, 0.2263, 0.2263)  8 Er 3.50-3.52, 5 Pr 3.52-3.91
Tm (0.7737, 0.2263, 0.7737)  8 Er 3.50-3.52, 5 Pr 3.52-3.91
Tm (0.7737, 0.7737, 0.2263)  8 Er 3.50-3.52, 5 Pr 3.52-3.91

=====

Entry 5:
VASP calculation (PBE-GGA) on a relaxed Na3Ge4Pt2 crystal.

Calculated values
For the total magnetization, the calculation gives 0.000 μB/atom. The crystal system is monoclinic. Its polymorph energy (0 for the lowest one) is 26 meV per atom. As for the formation energy: -0.331 eV per atom.

a = 6.0645 Å, b = 6.0645 Å, c = 8.8326 Å
α = 110.93°, β = 110.93°, γ = 40.61°
Closest atoms and distances in Å follow each position.
Element x y z (fractional)
Na (0.0000, 0.0000, 0.0000)  4 Ge 2.94
Na (0.3847, 0.3847, 0.6326)  6 Ge 3.14-3.26, 2 Pt 3.21-3.35
Na (0.6153, 0.6153, 0.3674)  6 Ge 3.14-3.26, 2 Pt 3.21-3.35
Ge (0.1008, 0.1008, 0.6238)  2 Pt 2.48, 1 Ge 2.49
Ge (0.3071, 0.3071, 0.9381)  3 Pt 2.54-2.62
Ge (0.6929, 0.6929, 0.0619)  3 Pt 2.54-2.62
Ge (0.8992, 0.8992, 0.3762)  2 Pt 2.48, 1 Ge 2.49
Pt (0.3102, 0.3102, 0.2273)  5 Ge 2.48-2.62
Pt (0.6898, 0.6898, 0.7727)  5 Ge 2.48-2.62

=====

Entry 6:
VASP calculation (PBE-GGA) on a relaxed Hf2Ni3Pt crystal.

Calculated values
For the total magnetization, the calculation gives 0.000 μB/atom. The crystal system is triclinic. As for the formation energy: -0.576 eV per atom.

a = 4.7097 Å, b = 4.8795 Å, c = 8.1172 Å
α = 95.51°, β = 98.45°, γ = 91.26°
Closest atoms and distances in Å follow each position.
Element x y z (fractional)
Hf (0.1753, 0.2900, 0.1108)  6 Ni 2.61-2.81, 2 Pt 2.79-2.86
Hf (0.2787, 0.9113, 0.6259)  6 Ni 2.60-2.83, 2 Pt 2.66-2.73
Hf (0.7213, 0.0887, 0.3741)  6 Ni 2.60-2.83, 2 Pt 2.66-2.73
Hf (0.8247, 0.7100, 0.8892)  6 Ni 2.61-2.81, 2 Pt 2.79-2.86
Ni (0.2046, 0.8477, 0.3003)  3 Ni 2.40-2.67, 2 Hf 2.60-2.64, 1 Pt 2.61
Ni (0.2411, 0.3699, 0.4364)  5 Hf 2.61-2.91, 1 Pt 2.65, 4 Ni 2.67-2.90
Ni (0.3620, 0.8039, 0.0306)  2 Ni 2.40-2.42, 2 Pt 2.58-2.62, 3 Hf 2.61-2.64
Ni (0.6380, 0.1961, 0.9694)  2 Ni 2.40-2.42, 2 Pt 2.58-2.62, 3 Hf 2.61-2.64
Ni (0.7589, 0.6301, 0.5636)  5 Hf 2.61-2.91, 1 Pt 2.65, 4 Ni 2.67-2.90
Ni (0.7954, 0.1523, 0.6997)  3 Ni 2.40-2.67, 2 Hf 2.60-2.64, 1 Pt 2.61
Pt (0.2789, 0.4419, 0.7671)  4 Ni 2.58-2.65, 4 Hf 2.66-2.86
Pt (0.7211, 0.5581, 0.2329)  4 Ni 2.58-2.65, 4 Hf 2.66-2.86

=====

Entry 7:
VASP calculation (PBE-GGA) on a relaxed Ho2TeC2 crystal.

Calculated values
For the total magnetization, the calculation gives 0.000 μB/atom. The crystal system is monoclinic. The formation energy (no corrections) comes out at -0.723 eV per atom.

a = 7.3344 Å, b = 7.3344 Å, c = 6.9978 Å
α = 101.29°, β = 101.29°, γ = 32.66°
Closest atoms and distances in Å follow each position.
Element x y z (fractional)
Ho (0.0242, 0.6690, 0.8609)  3 C 2.32-2.57
Ho (0.3310, 0.9758, 0.6391)  3 C 2.32-2.57
Ho (0.6690, 0.0242, 0.3609)  3 C 2.32-2.57
Ho (0.9758, 0.3310, 0.1391)  3 C 2.32-2.57
Te (0.2979, 0.7021, 0.2500)  6 Ho 3.13-3.26
Te (0.7021, 0.2979, 0.7500)  6 Ho 3.13-3.26
C (0.1446, 0.3955, 0.4627)  1 C 1.33
C (0.3955, 0.1446, 0.9627)  1 C 1.33
C (0.6045, 0.8554, 0.0373)  1 C 1.33
C (0.8554, 0.6045, 0.5373)  1 C 1.33

=====

Entry 8:
VASP calculation (PBE-GGA) on a relaxed TaRe3Mo crystal.

Calculated values
For the total magnetization, the calculation gives 0.000 μB/atom. The crystal system is cubic. Its polymorph energy (0 for the lowest one) is 427 meV per atom. As for the formation energy: 2.440 eV per atom.

a = 4.6728 Å, b = 4.6728 Å, c = 4.6728 Å
α = 90.00°, β = 90.00°, γ = 90.00°
Closest atoms and distances in Å follow each position.
Element x y z (fractional)
Ta (0.0000, 0.0000, 0.0000)  6 Re 2.34
Re (0.0000, 0.0000, 0.5000)  2 Ta 2.34
Re (0.0000, 0.5000, 0.0000)  2 Ta 2.34
Re (0.5000, 0.0000, 0.0000)  2 Ta 2.34
Mo (0.5000, 0.5000, 0.5000)  12 Re 3.30

=====

Entry 9:
VASP calculation (PBE-GGA) on a relaxed Ce4ThBi5 crystal.

Calculated values
For the total magnetization, the calculation gives 0.390 μB/atom. The crystal system is orthorhombic. As for the formation energy: -0.755 eV per atom.

a = 12.1803 Å, b = 12.1803 Å, c = 12.1803 Å
α = 158.23°, β = 148.98°, γ = 38.22°
Closest atoms and distances in Å follow each position.
Element x y z (fractional)
Ce (0.1003, 0.1003, 0.0000)  6 Bi 3.25-3.26
Ce (0.2997, 0.2997, 0.0000)  6 Bi 3.25-3.26
Ce (0.7003, 0.7003, 0.0000)  6 Bi 3.25-3.26
Ce (0.8997, 0.8997, 0.0000)  6 Bi 3.25-3.26
Th (0.5000, 0.5000, 0.0000)  6 Bi 3.26
Bi (0.0000, 0.5000, 0.5000)  2 Th 3.26, 4 Ce 3.26
Bi (0.1999, 0.6999, 0.5000)  6 Ce 3.25-3.26
Bi (0.3998, 0.8998, 0.5000)  4 Ce 3.26, 2 Th 3.26
Bi (0.6002, 0.1002, 0.5000)  4 Ce 3.26, 2 Th 3.26
Bi (0.8001, 0.3001, 0.5000)  6 Ce 3.25-3.26

=====

Entry 10:
VASP calculation (PBE-GGA) on a relaxed LaPrPdPt crystal.

Calculated values
For the total magnetization, the calculation gives 0.000 μB/atom. The crystal system is cubic. Its polymorph energy (0 for the lowest one) is 105 meV per atom. As for the formation energy: -0.890 eV per atom.

a = 5.1709 Å, b = 5.1709 Å, c = 5.1709 Å
α = 60.00°, β = 60.00°, γ = 60.00°
Closest atoms and distances in Å follow each position.
Element x y z (fractional)
La (0.0000, 0.0000, 0.0000)  4 Pt 3.17, 4 Pd 3.17
Pr (0.5000, 0.5000, 0.5000)  4 Pd 3.17, 4 Pt 3.17
Pd (0.7500, 0.7500, 0.7500)  4 La 3.17, 4 Pr 3.17
Pt (0.2500, 0.2500, 0.2500)  4 Pr 3.17, 4 La 3.17

=====

Number 1: total DFT energy (no corrections) -2.709 eV/atom. Number 2: total DFT energy (no corrections) -6.749 eV/atom. Number 3: total DFT energy (no corrections) -3.952 eV/atom. Number 4: total DFT energy (no corrections) -4.399 eV/atom. Number 5: total DFT energy (no corrections) -4.165 eV/atom. Number 6: total DFT energy (no corrections) -7.791 eV/atom. Number 7: total DFT energy (no corrections) -6.872 eV/atom. Number 8: total DFT energy (no corrections) -9.566 eV/atom. Number 9: total DFT energy (no corrections) -5.811 eV/atom. Number 10: total DFT energy (no corrections) -6.126 eV/atom.